First-principles (GGA+U) data for Rb3V2PbF9 after structural relaxation, as listed in Alexandria via LeMat-Bulk.

Structure (POSCAR):
```
Rb3V2PbF9
1.0
6.259 0.000 0.000
-3.130 5.421 0.000
0.000 0.000 7.838
Rb V Pb F
3 2 1 9
Direct
0.000 0.000 0.000 Rb
0.333 0.667 0.688 Rb
0.667 0.333 0.312 Rb
0.333 0.667 0.151 V
0.667 0.333 0.849 V
0.000 0.000 0.500 Pb
0.000 0.500 0.000 F
0.176 0.352 0.310 F
0.176 0.824 0.310 F
0.352 0.176 0.690 F
0.500 0.000 0.000 F
0.500 0.500 0.000 F
0.648 0.824 0.310 F
0.824 0.176 0.690 F
0.824 0.648 0.690 F
```

As for the theoretical density: 4.60 Mg/m³. For the total energy, the calculation gives -5.224 eV/atom. The value obtained for the size of the total moment is 6.000 Bohr magnetons per cell.